1.
! ZnGa2C (PBE-GGA, relaxed); values from VASP
&SYSTEM
  ibrav = 0, nat = 4, ntyp = 3
/
ATOMIC_SPECIES
Zn 65.41 Zn.upf
Ga 69.72 Ga.upf
C 12.01 C.upf
CELL_PARAMETERS angstrom
0.000 3.096 3.096
3.096 0.000 3.096
3.096 3.096 0.000
ATOMIC_POSITIONS crystal
Zn 0.000 0.000 0.000
Ga 0.250 0.250 0.250
Ga 0.750 0.750 0.750
C 0.500 0.500 0.500
! energy relative to the lowest polymorph listed for this composition: 686 meV per atom
! space group: No. 225
! total DFT energy (no corrections): -2.963 eV/atom
! D(E_F): 0.4379 states/eV per atom
! formation energy from the elements: 4.7 eV/f.u.

***

2.
! ZnGa3C (PBE-GGA, relaxed); values from VASP
&SYSTEM
  ibrav = 0, nat = 5, ntyp = 3
/
ATOMIC_SPECIES
Zn 65.41 Zn.upf
Ga 69.72 Ga.upf
C 12.01 C.upf
CELL_PARAMETERS angstrom
4.786 0.000 0.000
0.000 4.786 0.000
0.000 0.000 4.786
ATOMIC_POSITIONS crystal
Zn 0.000 0.000 0.000
Ga 0.000 0.000 0.500
Ga 0.000 0.500 0.000
Ga 0.500 0.000 0.000
C 0.500 0.500 0.500
! energy relative to the lowest polymorph listed for this composition: 783 meV per atom
! space group: No. 221
! total DFT energy (no corrections): -2.422 eV/atom
! D(E_F): 0.5652 states/eV per atom
! formation energy from the elements: 7.5 eV/f.u.

***

3.
! Zr7Ga2C2 (PBE-GGA, relaxed); values from VASP
&SYSTEM
  ibrav = 0, nat = 11, ntyp = 3
/
ATOMIC_SPECIES
Zr 91.22 Zr.upf
Ga 69.72 Ga.upf
C 12.01 C.upf
CELL_PARAMETERS angstrom
3.520 -5.180 0.000
3.520 5.180 0.000
-0.936 0.000 6.739
ATOMIC_POSITIONS crystal
Zr 0.000 0.000 0.000
Zr 0.081 0.494 0.805
Zr 0.407 0.407 0.209
Zr 0.494 0.081 0.805
Zr 0.506 0.919 0.195
Zr 0.593 0.593 0.791
Zr 0.919 0.506 0.195
Ga 0.287 0.713 0.500
Ga 0.713 0.287 0.500
C 0.294 0.294 0.880
C 0.706 0.706 0.120
! space group: No. 12
! total DFT energy (no corrections): -7.682 eV/atom
! D(E_F): 0.8628 states/eV per atom
! formation energy from the elements: -0.2 eV/f.u.

***

- The lowest formation energy from the elements belongs to which entry?
  Zr7Ga2C2